1.
Density functional theory data (PBE-GGA) for a relaxed structure of Tb3Pm2Nd6Tm.

Computed properties:
calculated total energy: -56.32 eV/cell
formation enthalpy at 0 K: 12 meV per atom
M_tot: 0.00 Bohr magnetons per cell
calculated volume: 405.0 Å³/f.u.

a = 6.298 Å, b = 6.298 Å, c = 11.974 Å
α = 95.02°, β = 95.02°, γ = 119.99°
Fractional positions:
1 Tb 0.166 0.834 0.500
2 Tb 0.834 0.166 0.500
3 Tb 0.500 0.500 0.500
4 Pm 0.333 0.667 0.000
5 Pm 0.667 0.333 0.000
6 Nd 0.916 0.584 0.749
7 Nd 0.751 0.751 0.251
8 Nd 0.084 0.416 0.251
9 Nd 0.584 0.916 0.749
10 Nd 0.249 0.249 0.749
11 Nd 0.416 0.084 0.251
12 Tm 0.000 0.000 0.000

2.
Density functional theory data (PBE-GGA) for a relaxed structure of TbPm2Nd4Tm.

Computed properties:
calculated total energy: -37.56 eV/cell
formation enthalpy at 0 K: 14 meV per atom
M_tot: 0.00 Bohr magnetons per cell
calculated volume: 271.2 Å³/f.u.

a = 5.162 Å, b = 5.140 Å, c = 11.448 Å
α = 63.24°, β = 90.00°, γ = 90.00°
Fractional positions:
1 Tb 0.500 0.500 0.000
2 Pm 0.000 0.000 0.000
3 Pm 0.500 0.000 0.500
4 Nd 0.000 0.752 0.748
5 Nd 0.000 0.248 0.252
6 Nd 0.500 0.749 0.251
7 Nd 0.500 0.251 0.749
8 Tm 0.000 0.500 0.500

3.
Density functional theory data (PBE-GGA) for a relaxed structure of Tb3PmNdTm.

Computed properties:
calculated total energy: -54.37 eV/cell
formation enthalpy at 0 K: 116 meV per atom
M_tot: 0.00 Bohr magnetons per cell
calculated volume: 196.1 Å³/f.u.

a = 5.923 Å, b = 6.330 Å, c = 11.835 Å
α = 90.00°, β = 90.00°, γ = 117.89°
Fractional positions:
1 Tb 0.672 0.344 0.507
2 Tb 0.328 0.656 0.493
3 Tb 0.328 0.656 0.007
4 Tb 0.672 0.344 0.993
5 Tb 0.174 0.348 0.750
6 Tb 0.826 0.652 0.250
7 Pm 0.492 0.984 0.750
8 Pm 0.508 0.016 0.250
9 Nd 0.000 0.000 0.500
10 Nd 0.000 0.000 0.000
11 Tm 0.833 0.667 0.750
12 Tm 0.167 0.333 0.250

4.
Density functional theory data (PBE-GGA) for a relaxed structure of Tb3Pm6NdTm2.

Computed properties:
calculated total energy: -55.93 eV/cell
formation enthalpy at 0 K: 14 meV per atom
M_tot: 0.00 Bohr magnetons per cell
calculated volume: 396.0 Å³/f.u.

a = 6.248 Å, b = 6.248 Å, c = 11.894 Å
α = 95.01°, β = 95.01°, γ = 119.98°
Fractional positions:
1 Tb 0.167 0.833 0.500
2 Tb 0.833 0.167 0.500
3 Tb 0.500 0.500 0.500
4 Pm 0.916 0.582 0.750
5 Pm 0.749 0.749 0.250
6 Pm 0.084 0.418 0.250
7 Pm 0.582 0.916 0.750
8 Pm 0.251 0.251 0.750
9 Pm 0.418 0.084 0.250
10 Nd 0.000 0.000 0.000
11 Tm 0.333 0.667 0.000
12 Tm 0.667 0.333 0.000

5.
Density functional theory data (PBE-GGA) for a relaxed structure of Tb3PmNd6Tm2.

Computed properties:
calculated total energy: -56.04 eV/cell
formation enthalpy at 0 K: 13 meV per atom
M_tot: 0.00 Bohr magnetons per cell
calculated volume: 399.9 Å³/f.u.

a = 6.279 Å, b = 6.279 Å, c = 11.896 Å
α = 95.03°, β = 95.03°, γ = 119.98°
Fractional positions:
1 Tb 0.167 0.833 0.500
2 Tb 0.833 0.167 0.500
3 Tb 0.500 0.500 0.500
4 Pm 0.000 0.000 0.000
5 Nd 0.916 0.582 0.750
6 Nd 0.749 0.749 0.249
7 Nd 0.084 0.418 0.250
8 Nd 0.582 0.916 0.750
9 Nd 0.251 0.251 0.751
10 Nd 0.418 0.084 0.250
11 Tm 0.333 0.667 0.000
12 Tm 0.667 0.333 0.000

6.
Density functional theory data (PBE-GGA) for a relaxed structure of TbPm2Nd3Tm6.

Computed properties:
calculated total energy: -55.06 eV/cell
formation enthalpy at 0 K: 17 meV per atom
M_tot: 0.00 Bohr magnetons per cell
calculated volume: 383.3 Å³/f.u.

a = 6.197 Å, b = 6.197 Å, c = 11.706 Å
α = 95.05°, β = 95.05°, γ = 119.99°
Fractional positions:
1 Tb 0.000 0.000 0.000
2 Pm 0.334 0.666 0.000
3 Pm 0.666 0.334 0.000
4 Nd 0.167 0.833 0.500
5 Nd 0.833 0.167 0.500
6 Nd 0.500 0.500 0.500
7 Tm 0.917 0.584 0.751
8 Tm 0.750 0.750 0.249
9 Tm 0.083 0.416 0.249
10 Tm 0.584 0.917 0.751
11 Tm 0.250 0.250 0.751
12 Tm 0.416 0.083 0.249

7.
Density functional theory data (PBE-GGA) for a relaxed structure of Tb2Pm4NdTm.

Computed properties:
calculated total energy: -37.37 eV/cell
formation enthalpy at 0 K: 17 meV per atom
M_tot: 0.00 Bohr magnetons per cell
calculated volume: 266.0 Å³/f.u.

a = 3.621 Å, b = 6.246 Å, c = 11.952 Å
α = 79.79°, β = 90.00°, γ = 90.00°
Fractional positions:
1 Tb 0.000 0.000 0.000
2 Tb 0.500 0.000 0.500
3 Pm 0.000 0.750 0.747
4 Pm 0.000 0.250 0.253
5 Pm 0.500 0.750 0.253
6 Pm 0.500 0.250 0.747
7 Nd 0.500 0.500 0.000
8 Tm 0.000 0.500 0.500

8.
Density functional theory data (PBE-GGA) for a relaxed structure of TbPm3Nd2Tm6.

Computed properties:
calculated total energy: -55.05 eV/cell
formation enthalpy at 0 K: 17 meV per atom
M_tot: 0.00 Bohr magnetons per cell
calculated volume: 382.5 Å³/f.u.

a = 6.191 Å, b = 6.191 Å, c = 11.703 Å
α = 95.04°, β = 95.04°, γ = 119.98°
Fractional positions:
1 Tb 0.000 0.000 0.000
2 Pm 0.167 0.833 0.500
3 Pm 0.833 0.167 0.500
4 Pm 0.500 0.500 0.500
5 Nd 0.334 0.666 0.000
6 Nd 0.666 0.334 0.000
7 Tm 0.916 0.583 0.750
8 Tm 0.751 0.751 0.250
9 Tm 0.084 0.417 0.250
10 Tm 0.583 0.916 0.750
11 Tm 0.249 0.249 0.750
12 Tm 0.417 0.084 0.250

9.
Density functional theory data (PBE-GGA) for a relaxed structure of TbPmNd2Tm2.

Computed properties:
calculated total energy: -54.91 eV/cell
formation enthalpy at 0 K: 67 meV per atom
M_tot: 0.00 Bohr magnetons per cell
calculated volume: 196.2 Å³/f.u.

a = 5.671 Å, b = 9.830 Å, c = 7.039 Å
α = 90.00°, β = 90.00°, γ = 90.00°
Fractional positions:
1 Tb 0.500 0.500 0.000
2 Tb 0.000 0.000 0.500
3 Pm 0.000 0.000 0.000
4 Pm 0.500 0.500 0.500
5 Nd 0.500 0.833 0.252
6 Nd 0.500 0.167 0.748
7 Nd 0.000 0.667 0.752
8 Nd 0.000 0.333 0.248
9 Tm 0.500 0.166 0.250
10 Tm 0.000 0.666 0.250
11 Tm 0.500 0.834 0.750
12 Tm 0.000 0.334 0.750

10.
Density functional theory data (PBE-GGA) for a relaxed structure of TbPmNd3Tm.

Computed properties:
calculated total energy: -56.11 eV/cell
formation enthalpy at 0 K: 17 meV per atom
M_tot: 0.00 Bohr magnetons per cell
calculated volume: 201.7 Å³/f.u.

a = 5.103 Å, b = 8.108 Å, c = 10.274 Å
α = 90.00°, β = 90.00°, γ = 108.34°
Fractional positions:
1 Tb 0.000 0.000 0.500
2 Tb 0.000 0.000 0.000
3 Pm 0.498 0.996 0.750
4 Pm 0.502 0.004 0.250
5 Nd 0.666 0.331 0.499
6 Nd 0.334 0.669 0.501
7 Nd 0.334 0.669 0.999
8 Nd 0.666 0.331 0.001
9 Nd 0.167 0.334 0.750
10 Nd 0.833 0.666 0.250
11 Tm 0.834 0.667 0.750
12 Tm 0.166 0.333 0.250

11.
Density functional theory data (PBE-GGA) for a relaxed structure of Tb6PmNd2Tm.

Computed properties:
calculated total energy: -90.78 eV/cell
formation enthalpy at 0 K: 115 meV per atom
M_tot: 0.00 Bohr magnetons per cell
calculated volume: 330.2 Å³/f.u.

a = 9.732 Å, b = 8.815 Å, c = 8.815 Å
α = 117.96°, β = 94.42°, γ = 94.42°
Fractional positions:
1 Tb 0.057 0.123 0.744
2 Tb 0.443 0.256 0.877
3 Tb 0.943 0.877 0.256
4 Tb 0.557 0.744 0.123
5 Tb 0.313 0.982 0.428
6 Tb 0.187 0.572 0.018
7 Tb 0.687 0.018 0.572
8 Tb 0.813 0.428 0.982
9 Tb 0.119 0.706 0.493
10 Tb 0.381 0.507 0.294
11 Tb 0.881 0.294 0.507
12 Tb 0.619 0.493 0.706
13 Pm 0.250 0.982 0.018
14 Pm 0.750 0.018 0.982
15 Nd 0.457 0.804 0.702
16 Nd 0.043 0.298 0.196
17 Nd 0.543 0.196 0.298
18 Nd 0.957 0.702 0.804
19 Tm 0.250 0.408 0.592
20 Tm 0.750 0.592 0.408

12.
Density functional theory data (PBE-GGA) for a relaxed structure of TbPm2NdTm4.

Computed properties:
calculated total energy: -66.79 eV/cell
formation enthalpy at 0 K: 424 meV per atom
M_tot: 4.95 Bohr magnetons per cell
calculated volume: 264.8 Å³/f.u.

a = 9.490 Å, b = 9.490 Å, c = 11.783 Å
α = 128.38°, β = 128.38°, γ = 88.47°
Site moments in Bohr magnetons follow the coordinates.
Fractional positions:
1 Tb 0.500 0.500 0.500  0.25
2 Tb 0.000 0.000 0.000  0.25
3 Pm 0.500 0.000 0.000  0.19
4 Pm 0.500 0.000 0.500  0.19
5 Pm 0.000 0.000 0.500  0.20
6 Pm 0.500 0.500 0.000  0.20
7 Nd 0.000 0.500 0.000  0.18
8 Nd 0.000 0.500 0.500  0.18
9 Tm 0.248 0.752 0.000  0.23
10 Tm 0.748 0.252 0.500  0.23
11 Tm 0.252 0.748 0.500  0.23
12 Tm 0.752 0.248 0.000  0.23
13 Tm 0.750 0.750 0.998  0.24
14 Tm 0.750 0.750 0.502  0.24
15 Tm 0.250 0.250 0.498  0.24
16 Tm 0.250 0.250 0.002  0.24